## a
{
  "formula": "AcSn2Bi",
  "functional": "PBE",
  "state": "optimized geometry",
  "spacegroup": "No. 166",
  "n_ef_per_ev_fu": 3.0,
  "lattice_angstrom": [[2.691, 1.554, 5.233], [-2.691, 1.554, 5.233], [0.000, -3.108, 5.233]],
  "species": ["Ac", "Sn", "Sn", "Bi"],
  "fractional_positions": [[0.000, 0.000, 0.000], [0.227, 0.227, 0.227], [0.773, 0.773, 0.773], [0.500, 0.500, 0.500]]
}

## b
{
  "formula": "AcSn2Bi",
  "functional": "PBE",
  "state": "optimized geometry",
  "spacegroup": "No. 123",
  "n_ef_per_ev_fu": 3.8,
  "lattice_angstrom": [[4.276, 0.000, 0.000], [0.000, 4.276, 0.000], [0.000, 0.000, 6.952]],
  "species": ["Ac", "Sn", "Sn", "Bi"],
  "fractional_positions": [[0.000, 0.000, 0.000], [0.500, 0.500, 0.282], [0.500, 0.500, 0.718], [0.000, 0.000, 0.500]]
}

## c
{
  "formula": "AcSn2Bi",
  "functional": "PBE",
  "state": "optimized geometry",
  "spacegroup": "No. 123",
  "n_ef_per_ev_fu": 2.9,
  "lattice_angstrom": [[4.944, 0.000, 0.000], [0.000, 4.944, 0.000], [0.000, 0.000, 5.075]],
  "species": ["Ac", "Sn", "Sn", "Bi"],
  "fractional_positions": [[0.000, 0.000, 0.000], [0.000, 0.500, 0.500], [0.500, 0.000, 0.500], [0.500, 0.500, 0.000]]
}

How do the energies compare? Relative to the most stable structure, in kJ/mol of atoms: a 19.6; b 16.2; c 0.0.

## a
{
  "formula": "SrAcBi2",
  "functional": "PBE",
  "state": "optimized geometry",
  "spacegroup": "No. 123",
  "n_ef_per_ev_fu": 2.6,
  "lattice_angstrom": [[5.769, 0.000, 0.000], [0.000, 5.769, 0.000], [0.000, 0.000, 4.368]],
  "species": ["Sr", "Ac", "Bi", "Bi"],
  "fractional_positions": [[0.000, 0.000, 0.000], [0.500, 0.500, 0.000], [0.000, 0.500, 0.500], [0.500, 0.000, 0.500]]
}

## b
{
  "formula": "SrAcBi2",
  "functional": "PBE",
  "state": "optimized geometry",
  "spacegroup": "No. 225",
  "n_ef_per_ev_fu": 3.5,
  "lattice_angstrom": [[0.000, 4.176, 4.176], [4.176, 0.000, 4.176], [4.176, 4.176, 0.000]],
  "species": ["Sr", "Ac", "Bi", "Bi"],
  "fractional_positions": [[0.000, 0.000, 0.000], [0.500, 0.500, 0.500], [0.250, 0.250, 0.250], [0.750, 0.750, 0.750]]
}

How do the energies compare? Relative to the most stable structure, in kJ/mol of atoms: a 0.0; b 0.6.

## a
{
  "formula": "SrAcBi2",
  "functional": "PBE",
  "state": "optimized geometry",
  "spacegroup": "No. 13",
  "n_ef_per_ev_fu": 4.3,
  "lattice_angstrom": [[6.877, 0.000, 0.000], [0.000, 6.879, 0.000], [-6.853, 0.000, 13.802]],
  "species": ["Sr", "Sr", "Sr", "Sr", "Ac", "Ac", "Ac", "Ac", "Bi", "Bi", "Bi", "Bi", "Bi", "Bi", "Bi", "Bi"],
  "fractional_positions": [[0.125, 0.250, 0.125], [0.125, 0.750, 0.625], [0.875, 0.250, 0.375], [0.875, 0.750, 0.875], [0.375, 0.250, 0.875], [0.375, 0.750, 0.375], [0.625, 0.250, 0.625], [0.625, 0.750, 0.125], [0.128, 0.249, 0.628], [0.128, 0.751, 0.128], [0.378, 0.250, 0.378], [0.378, 0.750, 0.878], [0.622, 0.250, 0.122], [0.622, 0.750, 0.622], [0.872, 0.249, 0.872], [0.872, 0.751, 0.372]]
}

## b
{
  "formula": "SrAcBi2",
  "functional": "PBE",
  "state": "optimized geometry",
  "spacegroup": "No. 160",
  "n_ef_per_ev_fu": 4.6,
  "lattice_angstrom": [[2.508, 1.448, 7.715], [-2.508, 1.448, 7.715], [0.000, -2.896, 7.715]],
  "species": ["Sr", "Ac", "Bi", "Bi"],
  "fractional_positions": [[0.000, 0.000, 0.000], [0.174, 0.174, 0.174], [0.422, 0.422, 0.422], [0.584, 0.584, 0.584]]
}

How do the energies compare? Relative to the most stable structure, in kJ/mol of atoms: a 0.0; b 7.3.

## a
{
  "formula": "SrAc2Bi3",
  "functional": "PBE",
  "state": "optimized geometry",
  "spacegroup": "No. 71",
  "n_ef_per_ev_fu": 4.6,
  "lattice_angstrom": [[-2.425, 3.443, 7.364], [2.425, -3.443, 7.364], [2.425, 3.443, -7.364]],
  "species": ["Sr", "Ac", "Ac", "Bi", "Bi", "Bi"],
  "fractional_positions": [[0.000, 0.000, 0.000], [0.335, 0.335, 0.000], [0.665, 0.665, 0.000], [0.170, 0.670, 0.500], [0.500, 0.000, 0.500], [0.830, 0.330, 0.500]]
}

## b
{
  "formula": "SrAc2Bi3",
  "functional": "PBE",
  "state": "optimized geometry",
  "spacegroup": "No. 194",
  "n_ef_per_ev_fu": 1.7,
  "lattice_angstrom": [[5.007, 0.000, 0.000], [-2.503, 4.336, 0.000], [0.000, 0.000, 22.515]],
  "species": ["Sr", "Sr", "Ac", "Ac", "Ac", "Ac", "Bi", "Bi", "Bi", "Bi", "Bi", "Bi"],
  "fractional_positions": [[0.000, 0.000, 0.250], [0.000, 0.000, 0.750], [0.333, 0.667, 0.085], [0.333, 0.667, 0.415], [0.667, 0.333, 0.585], [0.667, 0.333, 0.915], [0.000, 0.000, 0.000], [0.000, 0.000, 0.500], [0.333, 0.667, 0.668], [0.333, 0.667, 0.832], [0.667, 0.333, 0.168], [0.667, 0.333, 0.332]]
}

How do the energies compare? Relative to the most stable structure, in kJ/mol of atoms: a 1.0; b 0.0.

## a
{
  "formula": "AcTb2Bi",
  "functional": "PBE",
  "state": "optimized geometry",
  "spacegroup": "No. 160",
  "n_ef_per_ev_fu": 3.9,
  "lattice_angstrom": [[2.072, 1.196, 9.937], [-2.072, 1.196, 9.937], [0.000, -2.392, 9.937]],
  "species": ["Ac", "Tb", "Tb", "Bi"],
  "fractional_positions": [[0.000, 0.000, 0.000], [0.566, 0.566, 0.566], [0.766, 0.766, 0.766], [0.166, 0.166, 0.166]]
}

## b
{
  "formula": "AcTb2Bi",
  "functional": "PBE",
  "state": "optimized geometry",
  "spacegroup": "No. 123",
  "n_ef_per_ev_fu": 5.1,
  "lattice_angstrom": [[5.081, 0.000, 0.000], [0.000, 5.081, 0.000], [0.000, 0.000, 4.986]],
  "species": ["Ac", "Tb", "Tb", "Bi"],
  "fractional_positions": [[0.000, 0.000, 0.000], [0.000, 0.500, 0.500], [0.500, 0.000, 0.500], [0.500, 0.500, 0.000]]
}

How do the energies compare? Relative to the most stable structure, in kJ/mol of atoms: a 10.0; b 0.0.

## a
{
  "formula": "Ac2TcBi",
  "functional": "PBE",
  "state": "optimized geometry",
  "spacegroup": "No. 123",
  "n_ef_per_ev_fu": 4.7,
  "lattice_angstrom": [[5.358, 0.000, 0.000], [0.000, 5.358, 0.000], [0.000, 0.000, 4.292]],
  "species": ["Ac", "Ac", "Tc", "Bi"],
  "fractional_positions": [[0.000, 0.500, 0.000], [0.500, 0.000, 0.000], [0.000, 0.000, 0.500], [0.500, 0.500, 0.500]]
}

## b
{
  "formula": "Ac2TcBi",
  "functional": "PBE",
  "state": "optimized geometry",
  "spacegroup": "No. 166",
  "n_ef_per_ev_fu": 2.9,
  "lattice_angstrom": [[1.826, 1.054, 11.149], [-1.826, 1.054, 11.149], [0.000, -2.108, 11.149]],
  "species": ["Ac", "Ac", "Tc", "Bi"],
  "fractional_positions": [[0.079, 0.079, 0.079], [0.921, 0.921, 0.921], [0.000, 0.000, 0.000], [0.500, 0.500, 0.500]]
}

How do the energies compare? Relative to the most stable structure, in kJ/mol of atoms: a 0.0; b 59.6.

## a
{
  "formula": "AcBiTe",
  "functional": "PBE",
  "state": "optimized geometry",
  "spacegroup": "No. 12",
  "n_ef_per_ev_fu": 0.8,
  "lattice_angstrom": [[3.307, -3.269, 0.000], [3.307, 3.269, 0.000], [-3.247, 0.000, 10.649]],
  "species": ["Ac", "Ac", "Bi", "Bi", "Te", "Te"],
  "fractional_positions": [[0.153, 0.153, 0.299], [0.847, 0.847, 0.701], [0.230, 0.230, 0.997], [0.770, 0.770, 0.003], [0.310, 0.310, 0.624], [0.690, 0.690, 0.376]]
}

## b
{
  "formula": "AcBiTe",
  "functional": "PBE",
  "state": "optimized geometry",
  "spacegroup": "No. 216",
  "n_ef_per_ev_fu": 5.0,
  "lattice_angstrom": [[0.000, 3.966, 3.966], [3.966, 0.000, 3.966], [3.966, 3.966, 0.000]],
  "species": ["Ac", "Bi", "Te"],
  "fractional_positions": [[0.000, 0.000, 0.000], [0.750, 0.750, 0.750], [0.250, 0.250, 0.250]]
}

How do the energies compare? Relative to the most stable structure, in kJ/mol of atoms: a 0.0; b 45.4.

## a
{
  "formula": "AcThBi",
  "functional": "PBE",
  "state": "optimized geometry",
  "spacegroup": "No. 107",
  "n_ef_per_ev_fu": 2.3,
  "lattice_angstrom": [[-2.126, 2.126, 5.964], [2.126, -2.126, 5.964], [2.126, 2.126, -5.964]],
  "species": ["Ac", "Th", "Bi"],
  "fractional_positions": [[0.000, 0.000, 0.000], [0.298, 0.298, 0.000], [0.672, 0.672, 0.000]]
}

## b
{
  "formula": "AcThBi",
  "functional": "PBE",
  "state": "optimized geometry",
  "spacegroup": "No. 129",
  "n_ef_per_ev_fu": 4.4,
  "lattice_angstrom": [[4.716, 0.000, 0.000], [0.000, 4.716, 0.000], [0.000, 0.000, 10.452]],
  "species": ["Ac", "Ac", "Th", "Th", "Bi", "Bi"],
  "fractional_positions": [[0.250, 0.250, 0.193], [0.750, 0.750, 0.807], [0.250, 0.250, 0.558], [0.750, 0.750, 0.442], [0.250, 0.250, 0.865], [0.750, 0.750, 0.135]]
}

## c
{
  "formula": "AcThBi",
  "functional": "PBE",
  "state": "optimized geometry",
  "spacegroup": "No. 156",
  "n_ef_per_ev_fu": 5.1,
  "lattice_angstrom": [[5.730, 0.000, 0.000], [-2.865, 4.963, 0.000], [0.000, 0.000, 3.825]],
  "species": ["Ac", "Th", "Bi"],
  "fractional_positions": [[0.000, 0.000, 0.000], [0.333, 0.667, 0.500], [0.667, 0.333, 0.496]]
}

How do the energies compare? Relative to the most stable structure, in kJ/mol of atoms: a 0.0; b 4.4; c 22.6.

## a
{
  "formula": "Ac2ThBi",
  "functional": "PBE",
  "state": "optimized geometry",
  "spacegroup": "No. 166",
  "n_ef_per_ev_fu": 4.6,
  "lattice_angstrom": [[1.830, 1.057, 13.119], [-1.830, 1.057, 13.119], [0.000, -2.113, 13.119]],
  "species": ["Ac", "Ac", "Th", "Bi"],
  "fractional_positions": [[0.092, 0.092, 0.092], [0.908, 0.908, 0.908], [0.000, 0.000, 0.000], [0.500, 0.500, 0.500]]
}

## b
{
  "formula": "Ac2ThBi",
  "functional": "PBE",
  "state": "optimized geometry",
  "spacegroup": "No. 123",
  "n_ef_per_ev_fu": 4.3,
  "lattice_angstrom": [[5.259, 0.000, 0.000], [0.000, 5.259, 0.000], [0.000, 0.000, 5.168]],
  "species": ["Ac", "Ac", "Th", "Bi"],
  "fractional_positions": [[0.000, 0.500, 0.000], [0.500, 0.000, 0.000], [0.000, 0.000, 0.500], [0.500, 0.500, 0.500]]
}

How do the energies compare? Relative to the most stable structure, in kJ/mol of atoms: a 36.0; b 0.0.

## a
{
  "formula": "Ac2TiBi",
  "functional": "PBE",
  "state": "optimized geometry",
  "spacegroup": "No. 123",
  "n_ef_per_ev_fu": 4.5,
  "lattice_angstrom": [[5.522, 0.000, 0.000], [0.000, 5.522, 0.000], [0.000, 0.000, 4.436]],
  "species": ["Ac", "Ac", "Ti", "Bi"],
  "fractional_positions": [[0.000, 0.500, 0.000], [0.500, 0.000, 0.000], [0.000, 0.000, 0.500], [0.500, 0.500, 0.500]]
}

## b
{
  "formula": "Ac2TiBi",
  "functional": "PBE",
  "state": "optimized geometry",
  "spacegroup": "No. 166",
  "n_ef_per_ev_fu": 5.4,
  "lattice_angstrom": [[1.797, 1.038, 12.427], [-1.797, 1.038, 12.427], [0.000, -2.075, 12.427]],
  "species": ["Ac", "Ac", "Ti", "Bi"],
  "fractional_positions": [[0.086, 0.086, 0.086], [0.914, 0.914, 0.914], [0.000, 0.000, 0.000], [0.500, 0.500, 0.500]]
}

How do the energies compare? Relative to the most stable structure, in kJ/mol of atoms: a 0.0; b 50.7.

## a
{
  "formula": "AcTl2Bi",
  "functional": "PBE",
  "state": "optimized geometry",
  "spacegroup": "No. 123",
  "n_ef_per_ev_fu": 2.0,
  "lattice_angstrom": [[5.024, 0.000, 0.000], [0.000, 5.024, 0.000], [0.000, 0.000, 5.130]],
  "species": ["Ac", "Tl", "Tl", "Bi"],
  "fractional_positions": [[0.000, 0.000, 0.000], [0.000, 0.500, 0.500], [0.500, 0.000, 0.500], [0.500, 0.500, 0.000]]
}

## b
{
  "formula": "AcTl2Bi",
  "functional": "PBE",
  "state": "optimized geometry",
  "spacegroup": "No. 225",
  "n_ef_per_ev_fu": 3.2,
  "lattice_angstrom": [[0.000, 4.041, 4.041], [4.041, 0.000, 4.041], [4.041, 4.041, 0.000]],
  "species": ["Ac", "Tl", "Tl", "Bi"],
  "fractional_positions": [[0.000, 0.000, 0.000], [0.250, 0.250, 0.250], [0.750, 0.750, 0.750], [0.500, 0.500, 0.500]]
}

How do the energies compare? Relative to the most stable structure, in kJ/mol of atoms: a 0.0; b 18.5.

## a
{
  "formula": "Ac2TlBi4",
  "functional": "PBE",
  "state": "optimized geometry",
  "spacegroup": "No. 115",
  "n_ef_per_ev_fu": 3.1,
  "lattice_angstrom": [[4.740, 0.000, 0.000], [0.000, 4.740, 0.000], [0.000, 0.000, 11.442]],
  "species": ["Ac", "Ac", "Tl", "Bi", "Bi", "Bi", "Bi"],
  "fractional_positions": [[0.000, 0.500, 0.236], [0.500, 0.000, 0.764], [0.000, 0.000, 0.500], [0.000, 0.000, 0.000], [0.000, 0.500, 0.685], [0.500, 0.000, 0.315], [0.500, 0.500, 0.000]]
}

## b
{
  "formula": "Ac2TlBi4",
  "functional": "PBE",
  "state": "optimized geometry",
  "spacegroup": "No. 69",
  "n_ef_per_ev_fu": 4.3,
  "lattice_angstrom": [[0.000, 5.077, 5.115], [4.920, 0.000, 5.115], [4.920, 5.077, 0.000]],
  "species": ["Ac", "Ac", "Tl", "Bi", "Bi", "Bi", "Bi"],
  "fractional_positions": [[0.000, 0.500, 0.500], [0.500, 0.000, 0.000], [0.000, 0.000, 0.000], [0.000, 0.000, 0.500], [0.000, 0.500, 0.000], [0.500, 0.000, 0.500], [0.500, 0.500, 0.000]]
}

How do the energies compare? Relative to the most stable structure, in kJ/mol of atoms: a 0.0; b 1.3.